<one>
Density functional theory data (PBE-GGA) for a geometry-optimized SmY6Er structure.

## Properties
Size of the total moment = 0.0 μB/f.u.

Unit cell a=6.4381 b=6.4469 c=9.3548 alpha=70.92 beta=70.40 gamma=60.16
Sites, in units of the cell vectors:
Sm  0.0000  0.0000  0.0000
Y  0.0633  0.4462  0.8061
Y  0.3203  0.9401  0.1943
Y  0.4504  0.6742  0.8096
Y  0.5496  0.3258  0.1904
Y  0.6797  0.0599  0.8057
Y  0.9367  0.5538  0.1939
Er  0.5000  0.5000  0.5000

<two>
Density functional theory data (PBE-GGA) for a geometry-optimized SmY6Er structure.

## Properties
Size of the total moment = 0.0 μB/f.u.

Unit cell a=6.8005 b=6.8005 c=6.6558 alpha=90.13 beta=90.13 gamma=122.03
Sites, in units of the cell vectors:
Sm  0.0000  0.0000  0.0000
Y  0.0519  0.5815  0.7488
Y  0.4185  0.9481  0.2512
Y  0.4906  0.4906  0.7485
Y  0.5094  0.5094  0.2515
Y  0.5815  0.0519  0.7488
Y  0.9481  0.4185  0.2512
Er  0.0000  0.0000  0.5000

Which structure is the most stable? The one labeled <two>.